Entry 1:
Here is Tb2Pm4SmY2 after structural relaxation from Alexandria via LeMat-Bulk. Energies are from GGA-PBE.

- DFT total energy (eV for the cell shown) = -45.77
- space group = No. 12
- ΔE_f (eV per formula unit) = 0.14
- crystal system = monoclinic

a b c (Å): 5.102 8.082 8.071
angles (deg): 107.47 90.00 108.40
Fractional positions:
Tb 0.889 0.778 0.333
Tb 0.111 0.222 0.667
Pm 0.777 0.555 0.666
Pm 0.223 0.445 0.334
Pm 0.555 0.110 0.333
Pm 0.445 0.890 0.667
Sm 0.000 0.000 0.000
Y 0.333 0.666 0.000
Y 0.667 0.334 0.000



Entry 2:
Here is Tb6PmSmY2 after structural relaxation from Alexandria via LeMat-Bulk. Energies are from GGA-PBE.

- DFT total energy (eV for the cell shown) = -97.86
- space group = No. 15
- ΔE_f (eV per formula unit) = 1.25
- crystal system = monoclinic

a b c (Å): 9.478 8.843 8.843
angles (deg): 116.64 93.16 93.16
Fractional positions:
Tb 0.058 0.114 0.758
Tb 0.442 0.242 0.886
Tb 0.942 0.886 0.242
Tb 0.558 0.758 0.114
Tb 0.318 0.985 0.439
Tb 0.182 0.561 0.015
Tb 0.682 0.015 0.561
Tb 0.818 0.439 0.985
Tb 0.116 0.707 0.480
Tb 0.384 0.520 0.293
Tb 0.884 0.293 0.520
Tb 0.616 0.480 0.707
Pm 0.250 0.409 0.591
Pm 0.750 0.591 0.409
Sm 0.250 0.966 0.034
Sm 0.750 0.034 0.966
Y 0.450 0.800 0.702
Y 0.050 0.298 0.200
Y 0.550 0.200 0.298
Y 0.950 0.702 0.800



Entry 3:
Here is TbPmSm2Y after structural relaxation from Alexandria via LeMat-Bulk. Energies are from GGA-PBE.

- DFT total energy (eV for the cell shown) = -46.69
- space group = No. 63
- ΔE_f (eV per formula unit) = 1.94
- crystal system = orthorhombic

a b c (Å): 7.228 8.411 7.199
angles (deg): 125.74 90.00 90.00
Fractional positions:
Tb 0.250 0.981 0.962
Tb 0.750 0.019 0.038
Pm 0.250 0.718 0.436
Pm 0.750 0.282 0.564
Sm 0.500 0.309 0.000
Sm 0.000 0.691 0.000
Sm 0.500 0.691 0.000
Sm 0.000 0.309 0.000
Y 0.750 0.739 0.477
Y 0.250 0.261 0.523



Entry 4:
Here is TbPmSmZr after structural relaxation from Alexandria via LeMat-Bulk. Energies are from GGA-PBE.

- DFT total energy (eV for the cell shown) = -21.68
- space group = No. 216
- ΔE_f (eV per formula unit) = 0.96
- crystal system = cubic

a b c (Å): 5.556 5.556 5.556
angles (deg): 60.00 60.00 60.00
Site moments in Bohr magnetons follow the coordinates.
Fractional positions:
Tb 0.500 0.500 0.500  0.21
Zr 0.250 0.250 0.250  0.69
Sm 0.750 0.750 0.750  0.02
Pm 0.000 0.000 0.000  0.17



Entry 5:
Here is PmSm3Tc after structural relaxation from Alexandria via LeMat-Bulk. Energies are from GGA-PBE.

- DFT total energy (eV for the cell shown) = -58.43
- relative energy among the computed polymorphs (eV per formula unit) = 0.00
- space group = No. 8
- ΔE_f (eV per formula unit) = 0.06
- crystal system = monoclinic

a b c (Å): 3.993 6.483 12.369
angles (deg): 81.57 80.71 72.06
Fractional positions:
Pm 0.116 0.481 0.287
Pm 0.227 0.538 0.007
Sm 0.451 0.949 0.149
Sm 0.761 0.719 0.759
Sm 0.097 0.184 0.622
Sm 0.983 0.132 0.901
Sm 0.786 0.040 0.387
Sm 0.427 0.625 0.522
Tc 0.788 0.275 0.148
Tc 0.424 0.392 0.759



Entry 6:
Here is PmSm3Tc after structural relaxation from Alexandria via LeMat-Bulk. Energies are from GGA-PBE.

- DFT total energy (eV for the cell shown) = -28.38
- relative energy among the computed polymorphs (eV per formula unit) = 0.83
- space group = No. 221
- ΔE_f (eV per formula unit) = 0.89
- crystal system = cubic

a b c (Å): 5.478 5.478 5.478
angles (deg): 90.00 90.00 90.00
Site moments in Bohr magnetons follow the coordinates.
Fractional positions:
Tc 0.000 0.000 0.000  -0.06
Sm 0.000 0.500 0.000  0.06
Sm 0.000 0.000 0.500  0.06
Sm 0.500 0.000 0.000  0.06
Pm 0.500 0.500 0.500  0.18



Entry 7:
Here is PmSm2Tc9 after structural relaxation from Alexandria via LeMat-Bulk. Energies are from GGA-PBE.

- DFT total energy (eV for the cell shown) = -107.00
- space group = No. 166
- ΔE_f (eV per formula unit) = 0.48
- crystal system = trigonal

a b c (Å): 5.423 5.423 9.275
angles (deg): 73.00 73.00 60.00
Fractional positions:
Pm 0.000 0.000 0.000
Sm 0.856 0.856 0.431
Sm 0.144 0.144 0.569
Tc 0.661 0.661 0.017
Tc 0.339 0.339 0.983
Tc 0.500 0.500 0.500
Tc 0.413 0.413 0.247
Tc 0.927 0.413 0.247
Tc 0.413 0.927 0.247
Tc 0.587 0.587 0.753
Tc 0.587 0.073 0.753
Tc 0.073 0.587 0.753



Entry 8:
Here is Pm2SmTc after structural relaxation from Alexandria via LeMat-Bulk. Energies are from GGA-PBE.

- DFT total energy (eV for the cell shown) = -98.44
- relative energy among the computed polymorphs (eV per formula unit) = 0.00
- space group = No. 62
- ΔE_f (eV per formula unit) = -0.02
- crystal system = orthorhombic

a b c (Å): 6.465 7.480 9.531
angles (deg): 90.00 90.00 90.00
Fractional positions:
Pm 0.165 0.677 0.065
Pm 0.335 0.177 0.435
Pm 0.835 0.323 0.565
Pm 0.665 0.823 0.935
Pm 0.835 0.323 0.935
Pm 0.665 0.823 0.565
Pm 0.165 0.677 0.435
Pm 0.335 0.177 0.065
Sm 0.634 0.547 0.250
Sm 0.866 0.047 0.250
Sm 0.366 0.453 0.750
Sm 0.134 0.953 0.750
Tc 0.037 0.390 0.250
Tc 0.463 0.890 0.250
Tc 0.963 0.610 0.750
Tc 0.537 0.110 0.750



Entry 9:
Here is Pm2SmTc after structural relaxation from Alexandria via LeMat-Bulk. Energies are from GGA-PBE.

- DFT total energy (eV for the cell shown) = -23.55
- relative energy among the computed polymorphs (eV per formula unit) = 1.06
- space group = No. 166
- ΔE_f (eV per formula unit) = 1.04
- crystal system = trigonal

a b c (Å): 4.884 4.884 5.900
angles (deg): 65.55 65.55 60.00
Fractional positions:
Tc 0.000 0.000 0.000
Sm 0.500 0.500 0.500
Pm 0.269 0.269 0.192
Pm 0.731 0.731 0.808



Entry 10:
Here is Pm2SmTc9 after structural relaxation from Alexandria via LeMat-Bulk. Energies are from GGA-PBE.

- DFT total energy (eV for the cell shown) = -106.88
- space group = No. 166
- ΔE_f (eV per formula unit) = 0.63
- crystal system = trigonal

a b c (Å): 5.422 5.422 9.295
angles (deg): 73.05 73.05 60.00
Fractional positions:
Pm 0.856 0.856 0.431
Pm 0.144 0.144 0.569
Sm 0.000 0.000 0.000
Tc 0.661 0.661 0.016
Tc 0.339 0.339 0.984
Tc 0.500 0.500 0.500
Tc 0.413 0.413 0.246
Tc 0.927 0.413 0.246
Tc 0.413 0.927 0.246
Tc 0.587 0.587 0.754
Tc 0.587 0.073 0.754
Tc 0.073 0.587 0.754



Entry 11:
Here is Pm2SmTc after structural relaxation from Alexandria via LeMat-Bulk. Energies are from GGA-PBE.

- DFT total energy (eV for the cell shown) = -24.09
- relative energy among the computed polymorphs (eV per formula unit) = 0.52
- space group = No. 123
- ΔE_f (eV per formula unit) = 0.50
- crystal system = tetragonal

a b c (Å): 3.524 3.524 9.091
angles (deg): 90.00 90.00 90.00
Fractional positions:
Tc 0.500 0.500 0.000
Sm 0.500 0.500 0.500
Pm 0.000 0.000 0.812
Pm 0.000 0.000 0.188



Entry 12:
Here is Pm2SmUTc2 after structural relaxation from Alexandria via LeMat-Bulk. Energies are from GGA-PBE.

- DFT total energy (eV for the cell shown) = -92.29
- space group = No. 72
- ΔE_f (eV per formula unit) = 0.10
- crystal system = orthorhombic

a b c (Å): 6.657 7.107 8.379
angles (deg): 115.09 113.40 90.00
Fractional positions:
Pm 0.692 0.901 0.384
Pm 0.192 0.484 0.384
Pm 0.808 0.516 0.616
Pm 0.308 0.099 0.616
Sm 0.250 0.000 0.000
Sm 0.750 0.000 0.000
U 0.750 0.500 0.000
U 0.250 0.500 0.000
Tc 0.407 0.600 0.815
Tc 0.593 0.400 0.185
Tc 0.093 0.785 0.185
Tc 0.907 0.215 0.815



Which of these has the highest DFT total energy? TbPmSmZr



Among the records above, which one has the highest ΔE_f? TbPmSm2Y



Look up the ΔE_f of the eleventh one. 0.50 eV per formula unit